# SrCaCu | Alexandria | PBE | optimized geometry
data_SrCaCu
_space_group_name_H-M_alt 'P 1'
_space_group_IT_number 1
_space_group_name_Hall 'P 1'
_cell_length_a 3.744
_cell_length_b 3.744
_cell_length_c 13.611
_cell_angle_alpha 90.00
_cell_angle_beta 90.00
_cell_angle_gamma 90.00
loop_
_atom_site_label
_atom_site_fract_x
_atom_site_fract_y
_atom_site_fract_z
_atom_site_occupancy
Sr1 0.000 0.000 0.000 1
Sr2 0.500 0.500 0.500 1
Ca1 0.000 0.000 0.261 1
Ca2 0.500 0.500 0.761 1
Cu1 0.000 0.000 0.642 1
Cu2 0.500 0.500 0.142 1
# Calculated formation energy (meV/atom): -13
# Energy above the most stable polymorph in this dataset (kJ/mol of formula units): 22
# D(E_F) (states/eV/cell): 5.8
# Total energy (eV per atom): -2.6063

# Sr2CaCu2 | Alexandria | PBE | optimized geometry
data_Sr2CaCu2
_space_group_name_H-M_alt 'P 1'
_space_group_IT_number 1
_space_group_name_Hall 'P 1'
_cell_length_a 8.127
_cell_length_b 8.127
_cell_length_c 4.562
_cell_angle_alpha 90.00
_cell_angle_beta 90.00
_cell_angle_gamma 90.00
loop_
_atom_site_label
_atom_site_fract_x
_atom_site_fract_y
_atom_site_fract_z
_atom_site_occupancy
Sr1 0.172 0.328 0.000 1
Sr2 0.328 0.828 0.000 1
Sr3 0.672 0.172 0.000 1
Sr4 0.828 0.672 0.000 1
Ca1 0.000 0.000 0.500 1
Ca2 0.500 0.500 0.500 1
Cu1 0.111 0.611 0.500 1
Cu2 0.389 0.111 0.500 1
Cu3 0.611 0.889 0.500 1
Cu4 0.889 0.389 0.500 1
# Calculated formation energy (meV/atom): -63
# Energy above the most stable polymorph in this dataset (kJ/mol of formula units): 0
# D(E_F) (states/eV/cell): 6.6
# Total energy (eV per atom): -2.7744

# SrCa2Cu6 | Alexandria | PBE | optimized geometry
data_SrCa2Cu6
_space_group_name_H-M_alt 'P 1'
_space_group_IT_number 1
_space_group_name_Hall 'P 1'
_cell_length_a 7.332
_cell_length_b 7.332
_cell_length_c 4.021
_cell_angle_alpha 90.00
_cell_angle_beta 90.00
_cell_angle_gamma 120.00
loop_
_atom_site_label
_atom_site_fract_x
_atom_site_fract_y
_atom_site_fract_z
_atom_site_occupancy
Sr1 0.000 0.000 0.000 1
Ca1 0.333 0.667 0.000 1
Ca2 0.667 0.333 0.000 1
Cu1 0.000 0.336 0.500 1
Cu2 0.000 0.664 0.500 1
Cu3 0.336 0.000 0.500 1
Cu4 0.336 0.336 0.500 1
Cu5 0.664 0.000 0.500 1
Cu6 0.664 0.664 0.500 1
# Calculated formation energy (meV/atom): -82
# D(E_F) (states/eV/cell): 5.3
# Total energy (eV per atom): -3.4449

# SrCa2Cu9 | Alexandria | PBE | optimized geometry
data_SrCa2Cu9
_space_group_name_H-M_alt 'P 1'
_space_group_IT_number 1
_space_group_name_Hall 'P 1'
_cell_length_a 5.302
_cell_length_b 5.302
_cell_length_c 16.651
_cell_angle_alpha 90.00
_cell_angle_beta 90.00
_cell_angle_gamma 120.00
loop_
_atom_site_label
_atom_site_fract_x
_atom_site_fract_y
_atom_site_fract_z
_atom_site_occupancy
Sr1 0.333 0.667 0.250 1
Sr2 0.667 0.333 0.750 1
Ca1 0.333 0.667 0.035 1
Ca2 0.333 0.667 0.465 1
Ca3 0.667 0.333 0.535 1
Ca4 0.667 0.333 0.965 1
Cu1 0.000 0.000 0.000 1
Cu2 0.000 0.000 0.250 1
Cu3 0.000 0.000 0.500 1
Cu4 0.000 0.000 0.750 1
Cu5 0.166 0.332 0.627 1
Cu6 0.166 0.332 0.873 1
Cu7 0.166 0.834 0.627 1
Cu8 0.166 0.834 0.873 1
Cu9 0.332 0.166 0.127 1
Cu10 0.332 0.166 0.373 1
Cu11 0.333 0.667 0.750 1
Cu12 0.667 0.333 0.250 1
Cu13 0.668 0.834 0.627 1
Cu14 0.668 0.834 0.873 1
Cu15 0.834 0.166 0.127 1
Cu16 0.834 0.166 0.373 1
Cu17 0.834 0.668 0.127 1
Cu18 0.834 0.668 0.373 1
# Calculated formation energy (meV/atom): -88
# D(E_F) (states/eV/cell): 15.2
# Total energy (eV per atom): -3.6338

# SrCaCu4 | Alexandria | PBE | optimized geometry
data_SrCaCu4
_space_group_name_H-M_alt 'P 1'
_space_group_IT_number 1
_space_group_name_Hall 'P 1'
_cell_length_a 4.231
_cell_length_b 7.400
_cell_length_c 8.115
_cell_angle_alpha 90.00
_cell_angle_beta 90.00
_cell_angle_gamma 90.00
loop_
_atom_site_label
_atom_site_fract_x
_atom_site_fract_y
_atom_site_fract_z
_atom_site_occupancy
Sr1 0.000 0.000 0.000 1
Sr2 0.500 0.500 0.500 1
Ca1 0.000 0.000 0.500 1
Ca2 0.500 0.500 0.000 1
Cu1 0.000 0.334 0.243 1
Cu2 0.000 0.334 0.757 1
Cu3 0.000 0.666 0.243 1
Cu4 0.000 0.666 0.757 1
Cu5 0.500 0.166 0.257 1
Cu6 0.500 0.166 0.743 1
Cu7 0.500 0.834 0.257 1
Cu8 0.500 0.834 0.743 1
# Calculated formation energy (meV/atom): -88
# Energy above the most stable polymorph in this dataset (kJ/mol of formula units): 0
# D(E_F) (states/eV/cell): 4.0
# Total energy (eV per atom): -3.4322

# SrCa2CuTc | Alexandria | PBE | optimized geometry
data_SrCa2CuTc
_space_group_name_H-M_alt 'P 1'
_space_group_IT_number 1
_space_group_name_Hall 'P 1'
_cell_length_a 5.482
_cell_length_b 5.482
_cell_length_c 5.020
_cell_angle_alpha 90.00
_cell_angle_beta 90.00
_cell_angle_gamma 90.00
loop_
_atom_site_label
_atom_site_fract_x
_atom_site_fract_y
_atom_site_fract_z
_atom_site_occupancy
Sr1 0.000 0.000 0.000 1
Ca1 0.000 0.500 0.500 1
Ca2 0.500 0.000 0.500 1
Cu1 0.500 0.500 0.000 1
Tc1 0.500 0.500 0.500 1
# Calculated formation energy (meV/atom): 555
# D(E_F) (states/eV/cell): 4.1
# Total energy (eV per atom): -3.4749

# SrCaCu2Te | Alexandria | PBE | optimized geometry
data_SrCaCu2Te
_space_group_name_H-M_alt 'P 1'
_space_group_IT_number 1
_space_group_name_Hall 'P 1'
_cell_length_a 5.312
_cell_length_b 5.312
_cell_length_c 6.140
_cell_angle_alpha 90.00
_cell_angle_beta 90.00
_cell_angle_gamma 90.00
loop_
_atom_site_label
_atom_site_fract_x
_atom_site_fract_y
_atom_site_fract_z
_atom_site_occupancy
Sr1 0.000 0.000 0.000 1
Ca1 0.500 0.500 0.500 1
Cu1 0.000 0.500 0.000 1
Cu2 0.500 0.000 0.000 1
Te1 0.000 0.000 0.500 1
# Formation energy without anion corrections (eV/atom): 0.23
# D(E_F) (states/eV/cell): 0.7
# Total energy (eV per atom): -2.7729

# Sr2CaCuTe | Alexandria | PBE | optimized geometry
data_Sr2CaCuTe
_space_group_name_H-M_alt 'P 1'
_space_group_IT_number 1
_space_group_name_Hall 'P 1'
_cell_length_a 6.261
_cell_length_b 6.261
_cell_length_c 5.814
_cell_angle_alpha 90.00
_cell_angle_beta 90.00
_cell_angle_gamma 90.00
loop_
_atom_site_label
_atom_site_fract_x
_atom_site_fract_y
_atom_site_fract_z
_atom_site_occupancy
Sr1 0.000 0.500 0.000 1
Sr2 0.500 0.000 0.000 1
Ca1 0.000 0.000 0.500 1
Cu1 0.500 0.500 0.500 1
Te1 0.000 0.000 0.000 1
# Formation energy without anion corrections (eV/atom): -0.08
# D(E_F) (states/eV/cell): 5.3
# Total energy (eV per atom): -2.6004

# SrCaTlCu | Alexandria | PBE | optimized geometry
data_SrCaTlCu
_space_group_name_H-M_alt 'P 1'
_space_group_IT_number 1
_space_group_name_Hall 'P 1'
_cell_length_a 7.714
_cell_length_b 7.714
_cell_length_c 7.714
_cell_angle_alpha 90.00
_cell_angle_beta 90.00
_cell_angle_gamma 90.00
loop_
_atom_site_label
_atom_site_fract_x
_atom_site_fract_y
_atom_site_fract_z
_atom_site_occupancy
Sr1 0.000 0.000 0.000 1
Sr2 0.000 0.500 0.500 1
Sr3 0.500 0.000 0.500 1
Sr4 0.500 0.500 0.000 1
Ca1 0.000 0.000 0.500 1
Ca2 0.000 0.500 0.000 1
Ca3 0.500 0.000 0.000 1
Ca4 0.500 0.500 0.500 1
Tl1 0.250 0.250 0.250 1
Tl2 0.250 0.750 0.750 1
Tl3 0.750 0.250 0.750 1
Tl4 0.750 0.750 0.250 1
Cu1 0.250 0.250 0.750 1
Cu2 0.250 0.750 0.250 1
Cu3 0.750 0.250 0.250 1
Cu4 0.750 0.750 0.750 1
# Calculated formation energy (meV/atom): -159
# D(E_F) (states/eV/cell): 10.4
# Total energy (eV per atom): -2.6958

# SrCaY2Cu | Alexandria | PBE | optimized geometry
data_SrCaY2Cu
_space_group_name_H-M_alt 'P 1'
_space_group_IT_number 1
_space_group_name_Hall 'P 1'
_cell_length_a 5.530
_cell_length_b 5.530
_cell_length_c 5.741
_cell_angle_alpha 90.00
_cell_angle_beta 90.00
_cell_angle_gamma 90.00
loop_
_atom_site_label
_atom_site_fract_x
_atom_site_fract_y
_atom_site_fract_z
_atom_site_occupancy
Sr1 0.000 0.000 0.000 1
Ca1 0.500 0.500 0.000 1
Y1 0.000 0.500 0.500 1
Y2 0.500 0.000 0.500 1
Cu1 0.500 0.500 0.500 1
# Calculated formation energy (meV/atom): 83
# D(E_F) (states/eV/cell): 7.4
# Total energy (eV per atom): -4.0587

# Sr2CaYCu | Alexandria | PBE | optimized geometry
data_Sr2CaYCu
_space_group_name_H-M_alt 'P 1'
_space_group_IT_number 1
_space_group_name_Hall 'P 1'
_cell_length_a 6.037
_cell_length_b 6.037
_cell_length_c 5.515
_cell_angle_alpha 90.00
_cell_angle_beta 90.00
_cell_angle_gamma 90.00
loop_
_atom_site_label
_atom_site_fract_x
_atom_site_fract_y
_atom_site_fract_z
_atom_site_occupancy
Sr1 0.000 0.500 0.000 1
Sr2 0.500 0.000 0.000 1
Ca1 0.000 0.000 0.500 1
Y1 0.500 0.500 0.500 1
Cu1 0.500 0.500 0.000 1
# Calculated formation energy (meV/atom): 110
# D(E_F) (states/eV/cell): 6.6
# Total energy (eV per atom): -3.0754

# SrCa2YCu | Alexandria | PBE | optimized geometry
data_SrCa2YCu
_space_group_name_H-M_alt 'P 1'
_space_group_IT_number 1
_space_group_name_Hall 'P 1'
_cell_length_a 5.784
_cell_length_b 5.784
_cell_length_c 5.476
_cell_angle_alpha 90.00
_cell_angle_beta 90.00
_cell_angle_gamma 90.00
loop_
_atom_site_label
_atom_site_fract_x
_atom_site_fract_y
_atom_site_fract_z
_atom_site_occupancy
Sr1 0.000 0.000 0.000 1
Ca1 0.000 0.500 0.500 1
Ca2 0.500 0.000 0.500 1
Y1 0.500 0.500 0.000 1
Cu1 0.500 0.500 0.500 1
# Calculated formation energy (meV/atom): 38
# D(E_F) (states/eV/cell): 5.5
# Total energy (eV per atom): -3.2107

# SrCaZn2Cu | Alexandria | PBE | optimized geometry
data_SrCaZn2Cu
_space_group_name_H-M_alt 'P 1'
_space_group_IT_number 1
_space_group_name_Hall 'P 1'
_cell_length_a 4.937
_cell_length_b 4.937
_cell_length_c 5.175
_cell_angle_alpha 90.00
_cell_angle_beta 90.00
_cell_angle_gamma 90.00
loop_
_atom_site_label
_atom_site_fract_x
_atom_site_fract_y
_atom_site_fract_z
_atom_site_occupancy
Sr1 0.000 0.000 0.000 1
Ca1 0.500 0.500 0.000 1
Zn1 0.000 0.500 0.500 1
Zn2 0.500 0.000 0.500 1
Cu1 0.500 0.500 0.500 1
# Calculated formation energy (meV/atom): 11
# D(E_F) (states/eV/cell): 2.8
# Total energy (eV per atom): -2.0548